{"formula": "BaBeAl4", "functional": "PBE", "state": "optimized geometry", "lattice": [[0.0000, 4.0281, 4.0281], [4.0281, 0.0000, 4.0281], [4.0281, 4.0281, 0.0000]], "species": ["Ba", "Be", "Al", "Al", "Al", "Al"], "frac_coords": [[0.0000, 0.0000, 0.0000], [0.7500, 0.7500, 0.7500], [0.3754, 0.3754, 0.3754], [0.3754, 0.3754, 0.8738], [0.3754, 0.8738, 0.3754], [0.8738, 0.3754, 0.3754]], "space_group": "No. 216", "dos_ef_per_ev_fu": 5.19, "vol_a3_per_atom": 21.8, "ef_ev_per_atom": 0.357}